## BaLa5 (GGA-PBE)

Data for a relaxed BaLa5 crystal.

## Properties
Magnetic moment (μB/f.u.): 0.000
Electronic total energy (eV per formula unit): -25.98
SG: Cmmm (65)

a b c (Å): 5.3701 5.3598 8.5941
angles (deg): 108.17 90.00 90.00
Positions (direct):
La: 0.5000 0.8247 0.6493
La: 0.0000 0.3254 0.6507
La: 0.5000 0.1753 0.3507
Ba: 0.0000 0.0000 0.0000
La: 0.0000 0.6746 0.3493
La: 0.5000 0.5000 0.0000

---

## Ba2La (GGA-PBE)

Data for a relaxed Ba2La crystal.

## Properties
Magnetic moment (μB/f.u.): 0.000
Electronic total energy (eV per formula unit): -7.59
SG: P4/mmm (123)

a b c (Å): 6.6561 6.6561 4.0334
angles (deg): 90.00 90.00 90.00
Positions (direct):
Ba: 0.5000 0.0000 0.5000
La: 0.0000 0.0000 0.0000
Ba: 0.0000 0.5000 0.5000

---

## BaLa6 (GGA-PBE)

Data for a relaxed BaLa6 crystal.

## Properties
Magnetic moment (μB/f.u.): 0.001
Electronic total energy (eV per formula unit): -26.71
SG: Im-3m (229)

a b c (Å): 7.2753 7.2753 7.2753
angles (deg): 109.47 109.47 109.47
Positions (direct):
La: 0.2500 0.5000 0.7500
La: 0.7500 0.2500 0.5000
La: 0.5000 0.2500 0.7500
La: 0.2500 0.7500 0.5000
La: 0.5000 0.7500 0.2500
La: 0.7500 0.5000 0.2500
Ba: 0.0000 0.0000 0.0000

---

## BaLa5 (GGA-PBE)

Data for a relaxed BaLa5 crystal.

## Properties
Magnetic moment (μB/f.u.): 0.000
Electronic total energy (eV per formula unit): -26.22
SG: P4/mmm (123)

a b c (Å): 3.7740 3.7740 16.5577
angles (deg): 90.00 90.00 90.00
Positions (direct):
La: 0.0000 0.0000 0.1937
La: 0.5000 0.5000 0.3405
Ba: 0.5000 0.5000 0.0000
La: 0.5000 0.5000 0.6595
La: 0.0000 0.0000 0.8063
La: 0.0000 0.0000 0.5000

---

## BaLa5 (GGA-PBE)

Data for a relaxed BaLa5 crystal.

## Properties
Magnetic moment (μB/f.u.): 0.001
Electronic total energy (eV per formula unit): -25.30
SG: F-43m (216)

a b c (Å): 7.0321 7.0321 7.0321
angles (deg): 60.00 60.00 60.00
Positions (direct):
La: 0.6173 0.6173 0.6173
La: 0.6173 0.6173 0.1482
La: 0.6173 0.1482 0.6173
La: 0.2500 0.2500 0.2500
La: 0.1482 0.6173 0.6173
Ba: 0.0000 0.0000 0.0000

---

## Ba3La (GGA-PBE)

Data for a relaxed Ba3La crystal.

## Properties
Magnetic moment (μB/f.u.): 0.001
Electronic total energy (eV per formula unit): -10.03
SG: Fm-3m (225)

a b c (Å): 6.7393 6.7393 6.7393
angles (deg): 60.00 60.00 60.00
Positions (direct):
Ba: 0.2500 0.2500 0.2500
La: 0.7500 0.7500 0.7500
Ba: 0.5000 0.5000 0.5000
Ba: 0.0000 0.0000 0.0000